Record 1
A relaxed structure of Be2ReP. Source: the Alexandria database, functional PBE.

**Formation enthalpy at 0 K**: 1.478 eV/f.u.
**Polymorph energy (0 for the lowest one)**: 201 kJ/mol of formula units
**Space group**: P4/mmm

a = 2.560 Å, b = 2.560 Å, c = 7.381 Å
α = 90.00°, β = 90.00°, γ = 90.00°
Sites, in units of the cell vectors:
Be 0.000 0.000 0.242
Be 0.000 0.000 0.758
Re 0.500 0.500 0.000
P 0.500 0.500 0.500

=====

Record 2
A relaxed structure of KMnCuI5. Source: the Alexandria database, functional PBE.

**E_form (uncorrected)**: -0.5516 eV per atom
**Space group**: C2/c

a = 7.994 Å, b = 7.994 Å, c = 10.618 Å
α = 103.70°, β = 103.70°, γ = 105.37°
Sites, in units of the cell vectors:
K 0.150 0.850 0.750
K 0.850 0.150 0.250
Mn 0.500 0.500 0.000
Mn 0.500 0.500 0.500
Cu 0.192 0.808 0.250
Cu 0.808 0.192 0.750
I 0.127 0.269 0.934
I 0.191 0.596 0.401
I 0.269 0.127 0.434
I 0.404 0.809 0.099
I 0.429 0.571 0.750
I 0.571 0.429 0.250
I 0.596 0.191 0.901
I 0.731 0.873 0.566
I 0.809 0.404 0.599
I 0.873 0.731 0.066

=====

Record 3
A relaxed structure of DyThIr2. Source: the Alexandria database, functional PBE.

**Formation enthalpy at 0 K**: -2.985 eV/f.u.
**Polymorph energy (0 for the lowest one)**: 65 kJ/mol of formula units
**Space group**: R-3m

a = 4.070 Å, b = 4.070 Å, c = 19.883 Å
α = 90.00°, β = 90.00°, γ = 120.00°
Sites, in units of the cell vectors:
Dy 0.000 0.000 0.000
Dy 0.333 0.667 0.667
Dy 0.667 0.333 0.333
Th 0.000 0.000 0.500
Th 0.333 0.667 0.167
Th 0.667 0.333 0.833
Ir 0.000 0.000 0.251
Ir 0.000 0.000 0.749
Ir 0.333 0.667 0.416
Ir 0.333 0.667 0.917
Ir 0.667 0.333 0.083
Ir 0.667 0.333 0.584

=====

Record 4
A relaxed structure of OsSeBr3. Source: the Alexandria database, functional PBE.

**E_form (uncorrected)**: 1.4120 eV per atom
**Polymorph energy (0 for the lowest one)**: 675 kJ/mol of formula units
**Space group**: Pm-3m

a = 5.370 Å, b = 5.370 Å, c = 5.370 Å
α = 90.00°, β = 90.00°, γ = 90.00°
Sites, in units of the cell vectors:
Os 0.000 0.000 0.000
Se 0.500 0.500 0.500
Br 0.000 0.500 0.500
Br 0.500 0.000 0.500
Br 0.500 0.500 0.000